Density functional theory data (PBE) for a geometry-optimized TlBrCl2 structure.

Cell and atoms, written as POSCAR:
```
TlBrCl2
1.0
6.935 1.127 -0.298
0.142 6.061 3.156
-0.733 0.209 6.792
Tl Br Cl
2 2 4
Cartesian
3.007 4.182 5.246 Tl
2.810 6.277 8.569 Tl
1.122 2.373 6.234 Br
1.655 4.294 2.822 Br
4.328 4.365 7.536 Cl
4.793 5.776 4.110 Cl
4.433 2.023 4.615 Cl
1.563 6.199 6.216 Cl
```

Calculated values
The value obtained for the formation energy (no corrections) is -0.5964 eV per atom. The total magnetization comes out at 0.0 μB/cell. The calculation puts the density of states at the Fermi level at 0.0 states/eV/cell. The calculated volume comes out at 276 Å³ per cell. Its space-group type is Cm (8).

---

Density functional theory data (PBE) for a geometry-optimized Tl2Br3Cl6 structure.

Cell and atoms, written as POSCAR:
```
Tl2Br3Cl6
1.0
1.137 -8.103 2.796
1.483 -6.356 -5.653
16.077 -2.271 0.254
Tl Br Cl
4 6 12
Cartesian
17.631 -10.278 -3.530 Tl
9.420 -10.017 0.567 Tl
1.065 -6.451 0.928 Tl
9.276 -6.712 -3.170 Tl
13.521 -8.159 -4.991 Br
12.934 -6.900 0.022 Br
13.734 -11.314 -0.852 Br
4.962 -5.414 -1.751 Br
5.174 -8.570 2.388 Br
5.762 -9.829 -2.625 Br
15.917 -8.117 -4.880 Cl
15.216 -6.406 0.574 Cl
16.043 -10.667 -0.929 Cl
7.276 -4.789 -1.841 Cl
7.570 -8.537 2.524 Cl
8.039 -9.307 -2.084 Cl
2.779 -8.612 2.277 Cl
3.480 -10.323 -3.176 Cl
2.653 -6.062 -1.674 Cl
11.420 -11.940 -0.762 Cl
11.126 -8.192 -5.127 Cl
10.657 -7.422 -0.519 Cl
```

Calculated values
The value obtained for the formation energy (no corrections) is -0.3863 eV per atom. The total magnetization comes out at 0.0 μB/cell. The calculation puts the density of states at the Fermi level at 9.5 states/eV/cell. The calculated volume comes out at 999 Å³ per cell. Its space-group type is C2/c (15).